CaV3F | Alexandria | GGA+U | optimized geometry; ρ = 3382 kg/m³; offset from the most stable computed form = 0 meV/atom; total moment = 1.9301 μB/atom; space group = Pm-3m (221)
1.0
4.703 0.000 0.000
0.000 4.703 0.000
0.000 0.000 4.703
Ca V F
1 3 1
Cartesian
2.352 2.352 2.352
2.352 0.000 0.000
0.000 0.000 2.352
0.000 2.352 0.000
0.000 0.000 0.000